Record 1
The following is a DFT calculation (PBE-GGA) of crystalline Ca2GaRh3 at its relaxed geometry.

Cell and atoms, written as POSCAR:
```
Ca2GaRh3
1.0
3.170 0.000 0.000
0.000 5.285 0.000
-1.585 -2.642 6.951
Ca Ga Rh
2 1 3
direct
0.676 0.176 0.353
0.324 0.824 0.647
0.000 0.500 0.000
0.366 0.366 0.731
0.000 0.000 0.000
0.634 0.634 0.269
```

E above lowest polymorph, kJ/mol of formula units: 277
Space group: Immm, No. 71
DFT formation energy, eV per atom: -0.13

***

Record 2
The following is a DFT calculation (PBE-GGA) of crystalline Ta3HgIr at its relaxed geometry.

Cell and atoms, written as POSCAR:
```
Ta3HgIr
1.0
4.866 0.000 0.000
0.000 4.866 0.000
0.000 0.000 4.866
Hg Ta Ir
1 3 1
direct
0.500 0.500 0.500
0.000 0.000 0.500
0.500 0.000 0.000
0.000 0.500 0.000
0.000 0.000 0.000
```

E above lowest polymorph, kJ/mol of formula units: 0
Space group: Pm-3m, No. 221
DFT formation energy, eV per atom: 0.99

***

Record 3
The following is a DFT calculation (PBE-GGA) of crystalline Pr8InPb2 at its relaxed geometry.

Cell and atoms, written as POSCAR:
```
Pr8InPb2
1.0
-4.483 -1.788 2.461
3.745 -5.178 3.061
2.750 8.553 5.259
Pr Pb In
8 2 1
direct
0.013 0.765 0.025
0.591 0.481 0.183
0.987 0.235 0.975
0.341 0.996 0.682
0.409 0.519 0.817
0.212 0.325 0.425
0.659 0.004 0.318
0.788 0.675 0.575
0.177 0.758 0.354
0.823 0.242 0.646
0.500 0.000 0.000
```

Space group: C2/m, No. 12
DFT formation energy, eV per atom: -0.26

***

Record 4
The following is a DFT calculation (PBE-GGA) of crystalline Tb2NdIn2Ag2 at its relaxed geometry.

Cell and atoms, written as POSCAR:
```
Tb2NdIn2Ag2
1.0
4.892 0.000 0.000
2.446 4.236 0.000
2.446 1.412 8.975
Ag Tb In Nd
2 2 2 1
direct
0.404 0.404 0.788
0.596 0.596 0.212
0.127 0.127 0.619
0.873 0.873 0.381
0.258 0.258 0.225
0.742 0.742 0.775
0.000 0.000 0.000
```

Space group: R-3m, No. 166
DFT formation energy, eV per atom: -0.30

***

Record 5
The following is a DFT calculation (PBE-GGA) of crystalline In2SnHg2 at its relaxed geometry.

Cell and atoms, written as POSCAR:
```
In2SnHg2
1.0
8.358 0.000 0.000
0.000 8.358 0.000
0.000 0.000 3.909
In Hg Sn
4 4 2
direct
0.362 0.862 0.000
0.638 0.138 0.000
0.862 0.638 0.000
0.138 0.362 0.000
0.336 0.164 0.500
0.164 0.664 0.500
0.836 0.336 0.500
0.664 0.836 0.500
0.000 0.000 0.000
0.500 0.500 0.000
```

E above lowest polymorph, kJ/mol of formula units: 18
Space group: P4/mbm, No. 127
DFT formation energy, eV per atom: 0.07

***

Record 6
The following is a DFT calculation (PBE-GGA) of crystalline RbCd3Mo at its relaxed geometry.

Cell and atoms, written as POSCAR:
```
RbCd3Mo
1.0
-3.894 -4.347 2.940
3.899 -4.847 -2.003
3.513 0.561 5.482
Cd Mo Rb
3 1 1
direct
0.000 0.500 0.000
0.500 0.000 0.000
0.000 0.000 0.500
0.500 0.500 0.500
0.000 0.000 0.000
```

E above lowest polymorph, kJ/mol of formula units: 470
Space group: Pm-3m, No. 221
DFT formation energy, eV per atom: 1.56